# 1
First-principles (PBE) data for a relaxed structure of BeCdMo2, as listed in Alexandria.

Geometry as POSCAR:
```
BeCdMo2
1.0
3.176 0.000 0.000
0.000 3.176 0.000
0.000 0.000 6.299
Mo Be Cd
2 1 1
Cartesian
1.588 1.588 1.644
0.000 0.000 0.334
0.000 0.000 2.899
1.588 1.588 4.571
```

Calculated values
As for the formation energy: 0.285 eV/atom. For the excess energy over the best structure of this formula in the dataset, the calculation gives 0.0265 eV/atom.

# 2
First-principles (PBE) data for a relaxed structure of Li5Re, as listed in Alexandria.

Geometry as POSCAR:
```
Li5Re
1.0
2.404 -4.164 0.000
2.404 4.164 0.000
0.000 0.000 4.300
Re Li
1 5
Cartesian
0.000 0.000 0.000
1.202 2.082 2.150
1.202 -2.082 2.150
2.404 -1.388 0.000
2.404 1.388 0.000
2.404 0.000 2.150
```

Calculated values
As for the formation energy: 0.743 eV/atom. For the excess energy over the best structure of this formula in the dataset, the calculation gives 0.5771 eV/atom.

# 3
First-principles (PBE) data for a relaxed structure of UAl4Ir, as listed in Alexandria.

Geometry as POSCAR:
```
UAl4Ir
1.0
-3.371 -2.604 -4.893
3.047 -5.653 0.923
-4.191 -5.710 1.632
U Al Ir
2 8 2
Cartesian
-0.162 -4.129 -1.985
0.000 0.000 0.000
-4.074 -5.489 -4.128
-4.635 -7.716 -2.554
-2.320 -7.585 0.086
-0.441 -8.477 1.789
0.025 -8.670 -0.948
-4.540 -5.296 -1.391
-2.195 -6.382 -2.425
0.120 -6.251 0.215
-2.176 -4.919 -0.177
-2.338 -9.048 -2.162
```

Calculated values
As for the formation energy: -0.121 eV/atom.

# 4
First-principles (PBE) data for a relaxed structure of Pr2Pa2Sb2C, as listed in Alexandria.

Geometry as POSCAR:
```
Pr2Pa2Sb2C
1.0
-0.715 -4.591 -0.586
4.607 -0.763 0.351
-2.742 1.729 8.515
Pa Pr Sb C
2 2 2 1
Cartesian
-0.358 -2.296 -0.293
2.304 -0.381 0.175
-0.266 -0.317 2.807
1.416 -3.308 5.472
1.727 -2.938 2.191
-0.577 -0.687 6.088
0.000 0.000 0.000
```

Calculated values
As for the raw formation energy: -0.72 eV per atom.